Computed, not measured: an optimized crystal structure of Tb2ZnAu at the PBE level of DFT.

Lattice parameters (Å, degrees): 3.6225 3.6225 7.0899 90.00 90.00 90.00
Last column: nearest neighbours and their distance in Å.
Element x y z (fractional)
Tb: 0.0000 0.0000 0.2483  4 Zn 3.11, 4 Au 3.12
Tb: 0.0000 0.0000 0.7517  4 Zn 3.11, 4 Au 3.12
Zn: 0.5000 0.5000 0.0000  8 Tb 3.11
Au: 0.5000 0.5000 0.5000  8 Tb 3.12

Results
The calculation puts the total energy at -4.05 eV/atom. The density of states at the Fermi level is 3.2 states/eV/cell. Its formation energy from the elements is -0.5998 eV/atom. The calculation puts the calculated volume at 23.3 A^3/atom.

---

Computed, not measured: an optimized crystal structure of Tb2Zn3Au at the PBE level of DFT.

Lattice parameters (Å, degrees): 8.5346 8.5346 8.5346 154.36 151.02 39.07
Last column: nearest neighbours and their distance in Å.
Element x y z (fractional)
Tb: 0.0000 0.0000 0.0000  4 Au 3.09, 6 Zn 3.19-3.26
Tb: 0.7490 0.2490 0.5000  10 Zn 3.07-3.19
Zn: 0.1648 0.6648 0.5000  3 Zn 2.46-2.50
Zn: 0.3201 0.8201 0.5000  1 Zn 2.50, 2 Au 2.55
Zn: 0.5890 0.5890 0.0000  2 Zn 2.46, 1 Au 2.61
Au: 0.4265 0.4265 0.0000  3 Zn 2.55-2.61

Results
The calculation puts the total energy at -3.17 eV/atom. The density of states at the Fermi level is 4.8 states/eV/cell. Its formation energy from the elements is -0.4408 eV/atom. The calculation puts the calculated volume at 21.7 A^3/atom. The energy above the most stable polymorph in this dataset comes out at 82 meV per atom.

---

Computed, not measured: an optimized crystal structure of Tb2Zn5Au3 at the PBE level of DFT.

Lattice parameters (Å, degrees): 12.6112 12.6112 6.8599 90.00 90.00 159.47
Last column: nearest neighbours and their distance in Å.
Element x y z (fractional)
Tb: 0.0148 0.9852 0.5000  5 Au 2.96-3.16, 6 Zn 3.09-3.30
Tb: 0.3246 0.6754 0.5381  4 Au 3.10-3.25, 10 Zn 3.11-3.36
Tb: 0.6754 0.3246 0.0381  4 Au 3.10-3.25, 10 Zn 3.11-3.36
Tb: 0.9852 0.0148 0.0000  5 Au 2.96-3.16, 6 Zn 3.09-3.30
Zn: 0.1081 0.8919 0.8187  1 Zn 2.53, 3 Au 2.64-2.79
Zn: 0.2042 0.7958 0.3640  4 Au 2.59-2.70, 1 Zn 2.64
Zn: 0.2082 0.7918 0.7486  2 Zn 2.53-2.64, 3 Au 2.63-2.65
Zn: 0.3756 0.6244 0.9923  4 Au 2.66-2.93, 1 Zn 2.73
Zn: 0.4478 0.5522 0.6924  4 Au 2.64-2.78, 1 Zn 2.73
Zn: 0.5522 0.4478 0.1924  4 Au 2.64-2.78, 1 Zn 2.73
Zn: 0.6244 0.3756 0.4923  4 Au 2.66-2.93, 1 Zn 2.73
Zn: 0.7918 0.2082 0.2486  2 Zn 2.53-2.64, 3 Au 2.63-2.65
Zn: 0.7958 0.2042 0.8640  4 Au 2.59-2.70, 1 Zn 2.64
Zn: 0.8919 0.1081 0.3187  1 Zn 2.53, 3 Au 2.64-2.79
Au: 0.1070 0.8930 0.2256  4 Zn 2.59-2.79
Au: 0.2699 0.7301 0.0600  7 Zn 2.63-2.70
Au: 0.4474 0.5526 0.2868  5 Zn 2.64-2.78
Au: 0.5526 0.4474 0.7868  5 Zn 2.64-2.78
Au: 0.7301 0.2699 0.5600  7 Zn 2.63-2.70
Au: 0.8930 0.1070 0.7256  4 Zn 2.59-2.79

Results
The calculation puts the total energy at -3.03 eV/atom. The density of states at the Fermi level is 11.2 states/eV/cell. Its formation energy from the elements is -0.4887 eV/atom. The calculation puts the calculated volume at 19.1 A^3/atom. The energy above the most stable polymorph in this dataset comes out at 0 meV per atom.

---

Computed, not measured: an optimized crystal structure of Tb2Zn5Au at the PBE level of DFT.

Lattice parameters (Å, degrees): 8.4036 8.4036 8.9514 90.00 90.00 150.55
Last column: nearest neighbours and their distance in Å.
Element x y z (fractional)
Tb: 0.0000 0.0000 0.0000  4 Au 3.20, 10 Zn 3.22-3.55
Tb: 0.0000 0.0000 0.5000  4 Au 3.20, 10 Zn 3.22-3.55
Tb: 0.1954 0.8046 0.7500  11 Zn 3.04-3.20, 2 Au 3.18
Tb: 0.8046 0.1954 0.2500  11 Zn 3.04-3.20, 2 Au 3.18
Zn: 0.1891 0.8109 0.1073  4 Zn 2.50-2.70
Zn: 0.1891 0.8109 0.3927  4 Zn 2.50-2.70
Zn: 0.3481 0.6519 0.0217  4 Zn 2.50-2.70, 1 Au 2.63
Zn: 0.3481 0.6519 0.4783  4 Zn 2.50-2.70, 1 Au 2.63
Zn: 0.3924 0.6076 0.7500  6 Zn 2.54-2.82, 1 Au 2.57
Zn: 0.6076 0.3924 0.2500  6 Zn 2.54-2.82, 1 Au 2.57
Zn: 0.6519 0.3481 0.5217  4 Zn 2.50-2.70, 1 Au 2.63
Zn: 0.6519 0.3481 0.9783  4 Zn 2.50-2.70, 1 Au 2.63
Zn: 0.8109 0.1891 0.6073  4 Zn 2.50-2.70
Zn: 0.8109 0.1891 0.8927  4 Zn 2.50-2.70
Au: 0.4495 0.5505 0.2500  3 Zn 2.57-2.63
Au: 0.5505 0.4495 0.7500  3 Zn 2.57-2.63

Results
The calculation puts the total energy at -2.80 eV/atom. The density of states at the Fermi level is 7.2 states/eV/cell. Its formation energy from the elements is -0.4345 eV/atom. The calculation puts the calculated volume at 19.4 A^3/atom.

---

Computed, not measured: an optimized crystal structure of Tb5Zn2Au at the PBE level of DFT.

Lattice parameters (Å, degrees): 9.3186 9.3186 9.3186 133.85 133.85 67.33
Last column: nearest neighbours and their distance in Å.
Element x y z (fractional)
Tb: 0.0000 0.0000 0.0000  4 Zn 2.90
Tb: 0.0196 0.5196 0.8412  2 Au 3.11, 3 Zn 3.18-3.19, 1 Tb 3.48
Tb: 0.1784 0.0196 0.5000  2 Au 3.11, 3 Zn 3.18-3.19, 1 Tb 3.48
Tb: 0.3216 0.8216 0.8412  2 Au 3.11, 3 Zn 3.18-3.19, 1 Tb 3.48
Tb: 0.4804 0.3216 0.5000  2 Au 3.11, 3 Zn 3.18-3.19, 1 Tb 3.48
Tb: 0.5000 0.5000 0.0000  4 Zn 2.90
Tb: 0.5196 0.6784 0.5000  2 Au 3.11, 3 Zn 3.18-3.19, 1 Tb 3.48
Tb: 0.6784 0.1784 0.1588  2 Au 3.11, 3 Zn 3.18-3.19, 1 Tb 3.48
Tb: 0.8216 0.9804 0.5000  2 Au 3.11, 3 Zn 3.18-3.19, 1 Tb 3.48
Tb: 0.9804 0.4804 0.1588  2 Au 3.11, 3 Zn 3.18-3.19, 1 Tb 3.48
Zn: 0.1214 0.3786 0.5000  1 Zn 2.51
Zn: 0.3786 0.8786 0.2572  1 Zn 2.51
Zn: 0.6214 0.1214 0.7428  1 Zn 2.51
Zn: 0.8786 0.6214 0.5000  1 Zn 2.51
Au: 0.2500 0.2500 0.0000  8 Tb 3.11
Au: 0.7500 0.7500 0.0000  8 Tb 3.11

Results
The calculation puts the total energy at -3.99 eV/atom. The density of states at the Fermi level is 18.2 states/eV/cell. Its formation energy from the elements is -0.3671 eV/atom. The calculation puts the calculated volume at 25.9 A^3/atom.

---

Computed, not measured: an optimized crystal structure of TbZn3Au3 at the PBE level of DFT.

Lattice parameters (Å, degrees): 7.4503 7.4503 7.4503 56.43 56.43 56.43
Last column: nearest neighbours and their distance in Å.
Element x y z (fractional)
Tb: 0.1614 0.1614 0.1614  6 Au 2.95-3.07, 6 Zn 3.17-3.19
Tb: 0.8386 0.8386 0.8386  6 Au 2.95-3.07, 6 Zn 3.17-3.19
Zn: 0.0451 0.2275 0.6043  4 Au 2.66-2.78, 2 Zn 2.73
Zn: 0.2275 0.6043 0.0451  4 Au 2.66-2.78, 2 Zn 2.73
Zn: 0.3957 0.9549 0.7725  4 Au 2.66-2.78, 2 Zn 2.73
Zn: 0.6043 0.0451 0.2275  4 Au 2.66-2.78, 2 Zn 2.73
Zn: 0.7725 0.3957 0.9549  4 Au 2.66-2.78, 2 Zn 2.73
Zn: 0.9549 0.7725 0.3957  4 Au 2.66-2.78, 2 Zn 2.73
Au: 0.1924 0.4281 0.6759  4 Zn 2.66-2.78, 2 Au 2.95, 1 Tb 2.95
Au: 0.3241 0.8076 0.5719  4 Zn 2.66-2.78, 2 Au 2.95, 1 Tb 2.95
Au: 0.4281 0.6759 0.1924  4 Zn 2.66-2.78, 2 Au 2.95, 1 Tb 2.95
Au: 0.5719 0.3241 0.8076  4 Zn 2.66-2.78, 2 Au 2.95, 1 Tb 2.95
Au: 0.6759 0.1924 0.4281  4 Zn 2.66-2.78, 2 Au 2.95, 1 Tb 2.95
Au: 0.8076 0.5719 0.3241  4 Zn 2.66-2.78, 2 Au 2.95, 1 Tb 2.95

Results
The calculation puts the total energy at -3.01 eV/atom. The density of states at the Fermi level is 6.4 states/eV/cell. Its formation energy from the elements is -0.3970 eV/atom. The calculation puts the calculated volume at 19.2 A^3/atom. The energy above the most stable polymorph in this dataset comes out at 0 meV per atom.